i | The following is a DFT calculation (PBE) of a geometry-optimized Tb4Pm3Sc2 structure.

```
data_Tb4Pm3Sc2
_chemical_formula_sum 'Tb16 Pm12 Sc8'
_cell_length_a 16.998
_cell_length_b 9.971
_cell_length_c 6.716
_cell_angle_alpha 90.00
_cell_angle_beta 95.54
_cell_angle_gamma 90.00
_symmetry_space_group_name_H-M 'C 1 2/c 1'
_symmetry_Int_Tables_number 15
loop_
_symmetry_equiv_pos_as_xyz
'x,y,z'
'-x,-y,-z'
'-x,y,-z+1/2'
'x,-y,z+1/2'
'x+1/2,y+1/2,z'
'-x+1/2,-y+1/2,-z'
'-x+1/2,y+1/2,-z+1/2'
'x+1/2,-y+1/2,z+1/2'
loop_
_atom_site_label
_atom_site_type_symbol
_atom_site_fract_x
_atom_site_fract_y
_atom_site_fract_z
_atom_site_occupancy
Tb1 Tb 0.015 0.187 0.015 1
Tb2 Tb 0.190 0.376 0.889 1
Pm1 Pm 0.000 0.492 0.750 1
Pm2 Pm 0.151 0.050 0.737 1
Sc1 Sc 0.168 0.287 0.372 1
```

---

ii | The following is a DFT calculation (PBE) of a geometry-optimized Tb4Pm3Sc2 structure.

```
data_Tb4Pm3Sc2
_chemical_formula_sum 'Tb8 Pm6 Sc4'
_cell_length_a 11.126
_cell_length_b 5.003
_cell_length_c 10.530
_cell_angle_alpha 90.00
_cell_angle_beta 108.12
_cell_angle_gamma 90.00
_symmetry_space_group_name_H-M 'C 1 2/m 1'
_symmetry_Int_Tables_number 12
loop_
_symmetry_equiv_pos_as_xyz
'x,y,z'
'-x,-y,-z'
'-x,y,-z'
'x,-y,z'
'x+1/2,y+1/2,z'
'-x+1/2,-y+1/2,-z'
'-x+1/2,y+1/2,-z'
'x+1/2,-y+1/2,z'
loop_
_atom_site_label
_atom_site_type_symbol
_atom_site_fract_x
_atom_site_fract_y
_atom_site_fract_z
_atom_site_occupancy
Tb1 Tb 0.002 0.000 0.171 1
Tb2 Tb 0.168 0.500 0.390 1
Pm1 Pm 0.000 0.000 0.500 1
Pm2 Pm 0.169 0.500 0.055 1
Sc1 Sc 0.166 0.500 0.721 1
```

---

Most stable structure - ii; separation to the second - 77 meV per atom.

---

i | The following is a DFT calculation (PBE) of a geometry-optimized Tb7PmSc2 structure.

```
data_Tb7PmSc2
_chemical_formula_sum 'Tb7 Pm1 Sc2'
_cell_length_a 6.079
_cell_length_b 7.013
_cell_length_c 7.842
_cell_angle_alpha 77.23
_cell_angle_beta 74.96
_cell_angle_gamma 73.40
_symmetry_space_group_name_H-M 'P -1'
_symmetry_Int_Tables_number 2
loop_
_symmetry_equiv_pos_as_xyz
'x,y,z'
'-x,-y,-z'
loop_
_atom_site_label
_atom_site_type_symbol
_atom_site_fract_x
_atom_site_fract_y
_atom_site_fract_z
_atom_site_occupancy
Tb1 Tb 0.000 0.000 0.000 1
Tb2 Tb 0.200 0.800 0.597 1
Tb3 Tb 0.399 0.599 0.205 1
Tb4 Tb 0.404 0.098 0.205 1
Pm1 Pm 0.000 0.500 0.000 1
Sc1 Sc 0.195 0.303 0.598 1
```

---

ii | The following is a DFT calculation (PBE) of a geometry-optimized Tb7PmSc2 structure.

```
data_Tb7PmSc2
_chemical_formula_sum 'Tb14 Pm2 Sc4'
_cell_length_a 8.831
_cell_length_b 15.130
_cell_length_c 5.585
_cell_angle_alpha 90.00
_cell_angle_beta 90.00
_cell_angle_gamma 90.00
_symmetry_space_group_name_H-M 'C m m m'
_symmetry_Int_Tables_number 65
_symmetry_space_group_name_Hall '-C 2 2'
loop_
_atom_site_label
_atom_site_type_symbol
_atom_site_fract_x
_atom_site_fract_y
_atom_site_fract_z
_atom_site_occupancy
Tb1 Tb 0.000 0.000 0.000 1
Tb2 Tb 0.000 0.256 0.500 1
Tb3 Tb 0.182 0.378 0.000 1
Pm1 Pm 0.000 0.500 0.500 1
Sc1 Sc 0.000 0.204 0.000 1
```

---

Most stable structure - i; separation to the second - 609 meV per atom.